(1)
An optimized crystal structure of NaTlAu2, computed with PBE.

```
data_NaTlAu2
_chemical_formula_sum 'Na4 Tl4 Au8'
_cell_length_a 6.990
_cell_length_b 6.990
_cell_length_c 6.990
_cell_angle_alpha 90.00
_cell_angle_beta 90.00
_cell_angle_gamma 90.00
_symmetry_space_group_name_H-M 'F -4 3 m'
_symmetry_Int_Tables_number 216
_symmetry_space_group_name_Hall 'F -4 2 3'
loop_
_atom_site_label
_atom_site_type_symbol
_atom_site_fract_x
_atom_site_fract_y
_atom_site_fract_z
_atom_site_occupancy
Na1 Na 0.000 0.000 0.000 1
Tl1 Tl 0.250 0.250 0.750 1
Au1 Au 0.000 0.000 0.500 1
Au2 Au 0.250 0.250 0.250 1
```

Values from the calculation:
As for the electronic total energy: -2.7088 eV per atom.

(2)
An optimized crystal structure of NaUAu, computed with PBE.

```
data_NaUAu
_chemical_formula_sum 'Na4 U4 Au4'
_cell_length_a 6.907
_cell_length_b 6.907
_cell_length_c 6.907
_cell_angle_alpha 90.00
_cell_angle_beta 90.00
_cell_angle_gamma 90.00
_symmetry_space_group_name_H-M 'F -4 3 m'
_symmetry_Int_Tables_number 216
_symmetry_space_group_name_Hall 'F -4 2 3'
loop_
_atom_site_label
_atom_site_type_symbol
_atom_site_fract_x
_atom_site_fract_y
_atom_site_fract_z
_atom_site_occupancy
Na1 Na 0.000 0.000 0.000 1
U1 U 0.000 0.000 0.500 1
Au1 Au 0.250 0.250 0.250 1
```

Values from the calculation:
As for the electronic total energy: -4.7979 eV per atom. The polymorph energy (0 for the lowest one) comes out at 0 meV/atom.

> The highest electronic total energy belongs to which entry?

NaTlAu2

> Among the records above, which one has the lowest electronic total energy?

NaUAu

> Among the records above, which one has the lowest electronic total energy?

NaUAu

Repeat the first record exactly.
An optimized crystal structure of NaTlAu2, computed with PBE.

```
data_NaTlAu2
_chemical_formula_sum 'Na4 Tl4 Au8'
_cell_length_a 6.990
_cell_length_b 6.990
_cell_length_c 6.990
_cell_angle_alpha 90.00
_cell_angle_beta 90.00
_cell_angle_gamma 90.00
_symmetry_space_group_name_H-M 'F -4 3 m'
_symmetry_Int_Tables_number 216
_symmetry_space_group_name_Hall 'F -4 2 3'
loop_
_atom_site_label
_atom_site_type_symbol
_atom_site_fract_x
_atom_site_fract_y
_atom_site_fract_z
_atom_site_occupancy
Na1 Na 0.000 0.000 0.000 1
Tl1 Tl 0.250 0.250 0.750 1
Au1 Au 0.000 0.000 0.500 1
Au2 Au 0.250 0.250 0.250 1
```

Values from the calculation:
As for the electronic total energy: -2.7088 eV per atom.